(1)
Material: TaAsSe2N
Method: DFT, PBE
State: optimized geometry

Cell and atoms, written as CIF:
```
data_TaAsSe2N
_cell_length_a 5.052
_cell_length_b 5.052
_cell_length_c 3.557
_cell_angle_alpha 90.00
_cell_angle_beta 90.00
_cell_angle_gamma 90.00
_space_group_name_H-M_alt 'P 1'
_space_group_IT_number 1
_space_group_name_Hall 'P 1'
loop_
_atom_site_label
_atom_site_type_symbol
_atom_site_fract_x
_atom_site_fract_y
_atom_site_fract_z
_atom_site_occupancy
Ta1 Ta 0.000 0.000 0.000 1
As1 As 0.500 0.500 0.500 1
Se1 Se 0.000 0.500 0.500 1
Se2 Se 0.500 0.000 0.500 1
N1 N 0.500 0.500 0.000 1
```

Energy, eV per atom: -5.3122
Distance to the lowest polymorph of the same formula, eV per atom: 0.8549
Space group: P4/mmm, No. 123


(2)
Material: TaAs2SeN
Method: DFT, PBE
State: optimized geometry

Cell and atoms, written as CIF:
```
data_TaAs2SeN
_cell_length_a 4.232
_cell_length_b 4.232
_cell_length_c 4.422
_cell_angle_alpha 90.00
_cell_angle_beta 90.00
_cell_angle_gamma 90.00
_space_group_name_H-M_alt 'P 1'
_space_group_IT_number 1
_space_group_name_Hall 'P 1'
loop_
_atom_site_label
_atom_site_type_symbol
_atom_site_fract_x
_atom_site_fract_y
_atom_site_fract_z
_atom_site_occupancy
Ta1 Ta 0.000 0.000 0.000 1
As1 As 0.000 0.500 0.500 1
As2 As 0.500 0.000 0.500 1
Se1 Se 0.500 0.500 0.000 1
N1 N 0.500 0.500 0.500 1
```

Energy, eV per atom: -5.8276
Distance to the lowest polymorph of the same formula, eV per atom: 0.0000
Space group: P4/mmm, No. 123


(3)
Material: TaAsSe2N
Method: DFT, PBE
State: optimized geometry

Cell and atoms, written as CIF:
```
data_TaAsSe2N
_cell_length_a 5.169
_cell_length_b 5.169
_cell_length_c 3.873
_cell_angle_alpha 90.00
_cell_angle_beta 90.00
_cell_angle_gamma 90.00
_space_group_name_H-M_alt 'P 1'
_space_group_IT_number 1
_space_group_name_Hall 'P 1'
loop_
_atom_site_label
_atom_site_type_symbol
_atom_site_fract_x
_atom_site_fract_y
_atom_site_fract_z
_atom_site_occupancy
Ta1 Ta 0.000 0.000 0.000 1
As1 As 0.500 0.500 0.500 1
Se1 Se 0.000 0.500 0.000 1
Se2 Se 0.500 0.000 0.000 1
N1 N 0.000 0.000 0.500 1
```

Energy, eV per atom: -6.1671
Distance to the lowest polymorph of the same formula, eV per atom: 0.0000
Space group: P4/mmm, No. 123


Raw formation energy (computed, meV/atom): 1047.2; 764.7; 192.2